# Nb3Al PBE relaxed
# Total magnetic moment in μB/f.u.: 0.0
# ΔE_f in meV/atom: -198
# Symmetry: No. 223
data_Nb3Al
_cell_length_a 5.209
_cell_length_b 5.209
_cell_length_c 5.209
_cell_angle_alpha 90.00
_cell_angle_beta 90.00
_cell_angle_gamma 90.00
_space_group_name_H-M_alt 'P 1'
_space_group_IT_number 1
loop_
_space_group_symop_operation_xyz
'x,y,z'
loop_
_atom_site_label
_atom_site_type_symbol
_atom_site_fract_x
_atom_site_fract_y
_atom_site_fract_z
Al1 Al 0.000 0.000 0.000
Al2 Al 0.500 0.500 0.500
Nb1 Nb 0.500 0.250 0.000
Nb2 Nb 0.250 0.000 0.500
Nb3 Nb 0.000 0.500 0.250
Nb4 Nb 0.500 0.750 0.000
Nb5 Nb 0.000 0.500 0.750
Nb6 Nb 0.750 0.000 0.500

# Ac5Ge2PdN PBE relaxed
# Total magnetic moment in μB/f.u.: 0.0
# E_form (uncorrected) in eV per formula unit: -6.78
# Symmetry: No. 36
data_Ac5Ge2PdN
_cell_length_a 4.784
_cell_length_b 9.554
_cell_length_c 12.238
_cell_angle_alpha 90.00
_cell_angle_beta 90.00
_cell_angle_gamma 104.50
_space_group_name_H-M_alt 'P 1'
_space_group_IT_number 1
loop_
_space_group_symop_operation_xyz
'x,y,z'
loop_
_atom_site_label
_atom_site_type_symbol
_atom_site_fract_x
_atom_site_fract_y
_atom_site_fract_z
Ac1 Ac 0.663 0.326 0.509
Ac2 Ac 0.337 0.674 0.009
Ac3 Ac 0.992 0.983 0.476
Ac4 Ac 0.529 0.058 0.233
Ac5 Ac 0.732 0.465 0.199
Ac6 Ac 0.471 0.942 0.733
Ac7 Ac 0.008 0.017 0.976
Ac8 Ac 0.344 0.689 0.387
Ac9 Ac 0.268 0.535 0.699
Ac10 Ac 0.656 0.311 0.887
N1 N 0.523 0.045 0.916
N2 N 0.477 0.955 0.416
Pd1 Pd 0.837 0.674 0.588
Pd2 Pd 0.163 0.326 0.088
Ge1 Ge 0.903 0.806 0.192
Ge2 Ge 0.097 0.194 0.692
Ge3 Ge 0.145 0.291 0.324
Ge4 Ge 0.855 0.709 0.824

# Pm3DyCu2 PBE relaxed
# Total magnetic moment in μB/f.u.: 0.0
# ΔE_f in meV/atom: -118
# Symmetry: No. 26
data_Pm3DyCu2
_cell_length_a 5.002
_cell_length_b 6.980
_cell_length_c 8.932
_cell_angle_alpha 90.00
_cell_angle_beta 90.00
_cell_angle_gamma 90.00
_space_group_name_H-M_alt 'P 1'
_space_group_IT_number 1
loop_
_space_group_symop_operation_xyz
'x,y,z'
loop_
_atom_site_label
_atom_site_type_symbol
_atom_site_fract_x
_atom_site_fract_y
_atom_site_fract_z
Pm1 Pm 0.000 0.992 0.078
Pm2 Pm 0.500 0.644 0.163
Pm3 Pm 0.000 0.855 0.660
Pm4 Pm 0.000 0.355 0.340
Pm5 Pm 0.500 0.144 0.837
Pm6 Pm 0.000 0.492 0.922
Cu1 Cu 0.500 0.235 0.157
Cu2 Cu 0.000 0.765 0.349
Cu3 Cu 0.500 0.735 0.843
Cu4 Cu 0.000 0.265 0.651
Dy1 Dy 0.500 0.510 0.575
Dy2 Dy 0.500 0.010 0.425

# Zn5FeN4 PBE relaxed
# Total magnetic moment in μB/f.u.: 0.0
# E_form (uncorrected) in eV per formula unit: 2.74
# Symmetry: No. 59
data_Zn5FeN4
_cell_length_a 4.779
_cell_length_b 6.033
_cell_length_c 8.977
_cell_angle_alpha 90.00
_cell_angle_beta 90.00
_cell_angle_gamma 90.00
_space_group_name_H-M_alt 'P 1'
_space_group_IT_number 1
loop_
_space_group_symop_operation_xyz
'x,y,z'
loop_
_atom_site_label
_atom_site_type_symbol
_atom_site_fract_x
_atom_site_fract_y
_atom_site_fract_z
Zn1 Zn 0.260 0.500 0.500
Zn2 Zn 0.305 0.228 0.849
Zn3 Zn 0.305 0.228 0.151
Zn4 Zn 0.740 0.000 0.000
Zn5 Zn 0.695 0.728 0.651
Zn6 Zn 0.305 0.772 0.849
Zn7 Zn 0.305 0.772 0.151
Zn8 Zn 0.695 0.272 0.349
Zn9 Zn 0.695 0.728 0.349
Zn10 Zn 0.695 0.272 0.651
N1 N 0.416 0.000 0.325
N2 N 0.584 0.500 0.825
N3 N 0.001 0.740 0.000
N4 N 0.416 0.000 0.675
N5 N 0.584 0.500 0.175
N6 N 0.001 0.260 0.000
N7 N 0.999 0.240 0.500
N8 N 0.999 0.760 0.500
Fe1 Fe 0.214 0.000 0.500
Fe2 Fe 0.786 0.500 0.000

# Y4Mg5Sc PBE relaxed
# Total magnetic moment in μB/f.u.: 0.0
# ΔE_f in meV/atom: -91
# Symmetry: No. 123
data_Y4Mg5Sc
_cell_length_a 3.757
_cell_length_b 3.757
_cell_length_c 18.881
_cell_angle_alpha 90.00
_cell_angle_beta 90.00
_cell_angle_gamma 90.00
_space_group_name_H-M_alt 'P 1'
_space_group_IT_number 1
loop_
_space_group_symop_operation_xyz
'x,y,z'
loop_
_atom_site_label
_atom_site_type_symbol
_atom_site_fract_x
_atom_site_fract_y
_atom_site_fract_z
Sc1 Sc 0.000 0.000 0.000
Mg1 Mg 0.500 0.500 0.910
Mg2 Mg 0.500 0.500 0.296
Mg3 Mg 0.500 0.500 0.500
Mg4 Mg 0.500 0.500 0.704
Mg5 Mg 0.500 0.500 0.090
Y1 Y 0.000 0.000 0.398
Y2 Y 0.000 0.000 0.807
Y3 Y 0.000 0.000 0.193
Y4 Y 0.000 0.000 0.602

# Li3CrN PBE relaxed
# Total magnetic moment in μB/f.u.: 6.0
# E_form (uncorrected) in eV per formula unit: 8.21
# Energy above the lowest structure with this stoichiometry in meV per atom: 882
# Symmetry: No. 221
data_Li3CrN
_cell_length_a 4.873
_cell_length_b 4.873
_cell_length_c 4.873
_cell_angle_alpha 90.00
_cell_angle_beta 90.00
_cell_angle_gamma 90.00
_space_group_name_H-M_alt 'P 1'
_space_group_IT_number 1
loop_
_space_group_symop_operation_xyz
'x,y,z'
loop_
_atom_site_label
_atom_site_type_symbol
_atom_site_fract_x
_atom_site_fract_y
_atom_site_fract_z
Cr1 Cr 0.000 0.000 0.000
Li1 Li 0.000 0.000 0.500
Li2 Li 0.000 0.500 0.000
Li3 Li 0.500 0.000 0.000
N1 N 0.500 0.500 0.500

# TbTm3Pd4 PBE relaxed
# Total magnetic moment in μB/f.u.: 0.0
# ΔE_f in meV/atom: -923
# Symmetry: No. 123
data_TbTm3Pd4
_cell_length_a 4.956
_cell_length_b 6.836
_cell_length_c 9.913
_cell_angle_alpha 90.00
_cell_angle_beta 90.00
_cell_angle_gamma 90.00
_space_group_name_H-M_alt 'P 1'
_space_group_IT_number 1
loop_
_space_group_symop_operation_xyz
'x,y,z'
loop_
_atom_site_label
_atom_site_type_symbol
_atom_site_fract_x
_atom_site_fract_y
_atom_site_fract_z
Tm1 Tm 0.000 0.000 0.500
Tm2 Tm 0.499 0.000 0.250
Tm3 Tm 0.499 0.500 0.250
Tm4 Tm 0.501 0.500 0.750
Tm5 Tm 0.501 0.000 0.750
Tm6 Tm 0.000 0.000 0.000
Tb1 Tb 0.000 0.500 0.000
Tb2 Tb 0.000 0.500 0.500
Pd1 Pd 0.001 0.246 0.750
Pd2 Pd 0.500 0.246 0.000
Pd3 Pd 0.001 0.754 0.750
Pd4 Pd 0.500 0.246 0.500
Pd5 Pd 0.500 0.754 0.500
Pd6 Pd 0.500 0.754 0.000
Pd7 Pd 0.999 0.246 0.250
Pd8 Pd 0.999 0.754 0.250

# Cr2TePd PBE relaxed
# Total magnetic moment in μB/f.u.: 7.6
# E_form (uncorrected) in eV per formula unit: 1.80
# Symmetry: No. 122
data_Cr2TePd
_cell_length_a 7.315
_cell_length_b 7.315
_cell_length_c 5.912
_cell_angle_alpha 51.78
_cell_angle_beta 51.78
_cell_angle_gamma 90.00
_space_group_name_H-M_alt 'P 1'
_space_group_IT_number 1
loop_
_space_group_symop_operation_xyz
'x,y,z'
loop_
_atom_site_label
_atom_site_type_symbol
_atom_site_fract_x
_atom_site_fract_y
_atom_site_fract_z
Cr1 Cr 0.618 0.125 0.250
Cr2 Cr 0.875 0.868 0.750
Cr3 Cr 0.132 0.625 0.250
Cr4 Cr 0.375 0.382 0.750
Te1 Te 0.750 0.250 0.500
Te2 Te 0.000 0.000 0.000
Pd1 Pd 0.250 0.750 0.500
Pd2 Pd 0.500 0.500 0.000